[1]
The following is a DFT calculation (PBE) of a relaxed Cs2Nb2PbO7 crystal.

Unit cell a=4.116 b=4.116 c=12.497 alpha=99.15 beta=99.15 gamma=89.88
Element x y z (fractional)
Cs: 0.191 0.191 0.376
Cs: 0.809 0.809 0.624
Nb: 0.395 0.395 0.826
Nb: 0.605 0.605 0.174
Pb: 0.000 0.000 0.000
O: 0.076 0.575 0.161
O: 0.341 0.341 0.672
O: 0.425 0.924 0.839
O: 0.500 0.500 0.000
O: 0.575 0.076 0.161
O: 0.659 0.659 0.328
O: 0.924 0.425 0.839

energy relative to the elements, uncorrected: -2155 meV per atom
symmetry: C2/m
size of the total moment: 0.00 μB/atom

[2]
The following is a DFT calculation (PBE) of a relaxed CsNbPdO4 crystal.

Unit cell a=7.519 b=7.519 c=7.519 alpha=131.97 beta=131.18 gamma=70.90
Element x y z (fractional)
Cs: 0.416 0.166 0.250
Cs: 0.584 0.834 0.750
Nb: 0.000 0.500 0.500
Nb: 0.500 0.500 0.000
Pd: 0.000 0.000 0.500
Pd: 0.000 0.500 0.000
O: 0.118 0.671 0.447
O: 0.258 0.300 0.543
O: 0.258 0.715 0.957
O: 0.276 0.329 0.947
O: 0.724 0.671 0.053
O: 0.742 0.285 0.043
O: 0.742 0.700 0.457
O: 0.882 0.329 0.553

energy relative to the elements, uncorrected: -1520 meV per atom
symmetry: Imma
size of the total moment: 0.00 μB/atom

[3]
The following is a DFT calculation (PBE) of a relaxed CsPmNb2O7 crystal.

Unit cell a=3.933 b=3.933 c=11.485 alpha=90.00 beta=90.00 gamma=90.00
Element x y z (fractional)
Cs: 0.000 0.000 0.000
Pm: 0.000 0.000 0.500
Nb: 0.500 0.500 0.305
Nb: 0.500 0.500 0.695
O: 0.000 0.500 0.344
O: 0.000 0.500 0.656
O: 0.500 0.000 0.344
O: 0.500 0.000 0.656
O: 0.500 0.500 0.147
O: 0.500 0.500 0.500
O: 0.500 0.500 0.853

energy relative to the elements, uncorrected: -2708 meV per atom
symmetry: P4/mmm
size of the total moment: 0.00 μB/atom

[4]
The following is a DFT calculation (PBE) of a relaxed Cs3Pm3NbO8 crystal.

Unit cell a=8.104 b=8.104 c=8.104 alpha=52.01 beta=52.01 gamma=52.01
Element x y z (fractional)
Cs: 0.000 0.500 0.500
Cs: 0.500 0.000 0.500
Cs: 0.500 0.500 0.000
Pm: 0.000 0.000 0.500
Pm: 0.000 0.500 0.000
Pm: 0.500 0.000 0.000
Nb: 0.500 0.500 0.500
O: 0.222 0.222 0.222
O: 0.250 0.700 0.700
O: 0.300 0.300 0.750
O: 0.300 0.750 0.300
O: 0.700 0.250 0.700
O: 0.700 0.700 0.250
O: 0.750 0.300 0.300
O: 0.778 0.778 0.778

energy relative to the elements, uncorrected: -2529 meV per atom
symmetry: R-3m
size of the total moment: 0.05 μB/atom

[5]
The following is a DFT calculation (PBE) of a relaxed Cs3Pr3NbO8 crystal.

Unit cell a=8.161 b=8.161 c=8.161 alpha=52.40 beta=52.40 gamma=52.40
Element x y z (fractional)
Cs: 0.000 0.500 0.500
Cs: 0.500 0.000 0.500
Cs: 0.500 0.500 0.000
Pr: 0.000 0.000 0.500
Pr: 0.000 0.500 0.000
Pr: 0.500 0.000 0.000
Nb: 0.500 0.500 0.500
O: 0.223 0.223 0.223
O: 0.256 0.697 0.697
O: 0.303 0.303 0.744
O: 0.303 0.744 0.303
O: 0.697 0.256 0.697
O: 0.697 0.697 0.256
O: 0.744 0.303 0.303
O: 0.777 0.777 0.777

energy relative to the elements, uncorrected: -2475 meV per atom
symmetry: R-3m
size of the total moment: 0.04 μB/atom

[6]
The following is a DFT calculation (PBE) of a relaxed Cs2PrNb2O7 crystal.

Unit cell a=12.494 b=12.494 c=12.494 alpha=161.13 beta=161.13 gamma=26.81
Element x y z (fractional)
Cs: 0.188 0.188 0.000
Cs: 0.812 0.812 0.000
Pr: 0.000 0.000 0.000
Nb: 0.414 0.414 0.000
Nb: 0.586 0.586 0.000
O: 0.072 0.572 0.500
O: 0.337 0.337 0.000
O: 0.428 0.928 0.500
O: 0.500 0.500 0.000
O: 0.572 0.072 0.500
O: 0.663 0.663 0.000
O: 0.928 0.428 0.500

energy relative to the elements, uncorrected: -2531 meV per atom
symmetry: I4/mmm
size of the total moment: 0.00 μB/atom

[7]
The following is a DFT calculation (PBE) of a relaxed Cs3PrNb2O8 crystal.

Unit cell a=6.510 b=6.510 c=8.526 alpha=90.00 beta=90.00 gamma=120.00
Element x y z (fractional)
Cs: 0.000 0.000 0.000
Cs: 0.333 0.667 0.713
Cs: 0.667 0.333 0.287
Pr: 0.000 0.000 0.500
Nb: 0.333 0.667 0.262
Nb: 0.667 0.333 0.738
O: 0.174 0.347 0.335
O: 0.174 0.826 0.335
O: 0.333 0.667 0.048
O: 0.347 0.174 0.665
O: 0.653 0.826 0.335
O: 0.667 0.333 0.952
O: 0.826 0.174 0.665
O: 0.826 0.653 0.665

energy relative to the elements, uncorrected: -2537 meV per atom
symmetry: P-3m1
size of the total moment: 0.00 μB/atom

[8]
The following is a DFT calculation (PBE) of a relaxed CsPr2Ti2NbO10 crystal.

Unit cell a=3.892 b=3.892 c=15.691 alpha=90.19 beta=90.19 gamma=89.81
Element x y z (fractional)
Cs: 0.000 0.000 0.000
Pr: 0.979 0.979 0.386
Pr: 0.988 0.988 0.666
Ti: 0.496 0.496 0.514
Ti: 0.497 0.497 0.795
Nb: 0.501 0.501 0.234
O: 0.006 0.509 0.267
O: 0.011 0.521 0.504
O: 0.495 0.998 0.760
O: 0.499 0.499 0.904
O: 0.501 0.501 0.120
O: 0.509 0.006 0.267
O: 0.511 0.511 0.633
O: 0.520 0.520 0.386
O: 0.521 0.011 0.504
O: 0.998 0.495 0.760

energy relative to the elements, uncorrected: -2974 meV per atom
symmetry: Cm
size of the total moment: 0.00 μB/atom

[9]
The following is a DFT calculation (PBE) of a relaxed Cs2PuNbO6 crystal.

Unit cell a=6.474 b=6.474 c=6.474 alpha=125.51 beta=125.51 gamma=80.69
Element x y z (fractional)
Cs: 0.000 0.500 0.500
Cs: 0.500 0.000 0.500
Pu: 0.233 0.233 0.000
Nb: 0.781 0.781 0.000
O: 0.426 0.426 0.000
O: 0.503 0.503 0.531
O: 0.503 0.973 0.000
O: 0.972 0.972 0.000
O: 0.973 0.503 0.000
O: 0.973 0.973 0.469

energy relative to the elements, uncorrected: -2333 meV per atom
symmetry: I4mm
size of the total moment: 0.30 μB/atom

[10]
The following is a DFT calculation (PBE) of a relaxed CsPuNbO6 crystal.

Unit cell a=7.676 b=7.676 c=7.676 alpha=121.17 beta=118.63 gamma=90.19
Element x y z (fractional)
Cs: 0.367 0.117 0.250
Cs: 0.633 0.883 0.750
Pu: 0.000 0.500 0.500
Pu: 0.500 0.500 0.000
Nb: 0.000 0.000 0.500
Nb: 0.000 0.500 0.000
O: 0.057 0.807 0.250
O: 0.059 0.433 0.242
O: 0.059 0.817 0.626
O: 0.309 0.183 0.742
O: 0.309 0.567 0.126
O: 0.320 0.570 0.750
O: 0.680 0.430 0.250
O: 0.691 0.433 0.874
O: 0.691 0.817 0.258
O: 0.941 0.183 0.374
O: 0.941 0.567 0.758
O: 0.943 0.193 0.750

energy relative to the elements, uncorrected: -2473 meV per atom
symmetry: Imma
size of the total moment: 0.22 μB/atom

[11]
The following is a DFT calculation (PBE) of a relaxed CsPu2NbO8 crystal.

Unit cell a=4.721 b=4.775 c=9.769 alpha=99.54 beta=91.66 gamma=90.83
Element x y z (fractional)
Cs: 0.000 0.000 0.000
Pu: 0.421 0.470 0.677
Pu: 0.579 0.530 0.323
Nb: 0.000 0.000 0.500
O: 0.144 0.710 0.346
O: 0.234 0.885 0.654
O: 0.313 0.295 0.482
O: 0.499 0.385 0.137
O: 0.501 0.615 0.863
O: 0.687 0.705 0.518
O: 0.766 0.115 0.346
O: 0.856 0.290 0.654

energy relative to the elements, uncorrected: -2426 meV per atom
symmetry: P-1
size of the total moment: 0.50 μB/atom

[12]
The following is a DFT calculation (PBE) of a relaxed CsRbNb2O6 crystal.

Unit cell a=8.708 b=8.708 c=6.457 alpha=98.18 beta=98.18 gamma=91.11
Element x y z (fractional)
Cs: 0.103 0.897 0.750
Cs: 0.897 0.103 0.250
Rb: 0.289 0.711 0.250
Rb: 0.711 0.289 0.750
Nb: 0.213 0.373 0.758
Nb: 0.373 0.213 0.258
Nb: 0.627 0.787 0.742
Nb: 0.787 0.627 0.242
O: 0.039 0.247 0.704
O: 0.159 0.570 0.823
O: 0.247 0.039 0.204
O: 0.321 0.350 0.507
O: 0.350 0.321 0.007
O: 0.430 0.841 0.677
O: 0.570 0.159 0.323
O: 0.650 0.679 0.993
O: 0.679 0.650 0.493
O: 0.753 0.961 0.796
O: 0.841 0.430 0.177
O: 0.961 0.753 0.296

energy relative to the elements, uncorrected: -2357 meV per atom
symmetry: C2/c
size of the total moment: 0.01 μB/atom

[13]
The following is a DFT calculation (PBE) of a relaxed Cs2RbNb2O7 crystal.

Unit cell a=4.191 b=4.191 c=12.422 alpha=99.49 beta=99.49 gamma=89.67
Element x y z (fractional)
Cs: 0.192 0.192 0.376
Cs: 0.808 0.808 0.624
Rb: 0.000 0.000 0.000
Nb: 0.383 0.383 0.824
Nb: 0.617 0.617 0.176
O: 0.072 0.581 0.171
O: 0.346 0.346 0.668
O: 0.419 0.928 0.829
O: 0.500 0.500 0.000
O: 0.581 0.072 0.171
O: 0.654 0.654 0.332
O: 0.928 0.419 0.829

energy relative to the elements, uncorrected: -2119 meV per atom
symmetry: C2/m
size of the total moment: 0.08 μB/atom

[14]
The following is a DFT calculation (PBE) of a relaxed Cs2RbNbO4 crystal.

Unit cell a=13.895 b=12.764 c=7.315 alpha=82.82 beta=65.69 gamma=31.49
Element x y z (fractional)
Cs: 0.075 0.075 0.675
Cs: 0.325 0.325 0.925
Cs: 0.675 0.675 0.075
Cs: 0.925 0.925 0.325
Rb: 0.125 0.125 0.125
Rb: 0.875 0.875 0.875
Nb: 0.375 0.375 0.375
Nb: 0.625 0.625 0.625
O: 0.079 0.593 0.493
O: 0.335 0.493 0.593
O: 0.407 0.921 0.665
O: 0.493 0.335 0.079
O: 0.507 0.665 0.921
O: 0.593 0.079 0.335
O: 0.665 0.507 0.407
O: 0.921 0.407 0.507

energy relative to the elements, uncorrected: -1878 meV per atom
symmetry: Fddd
size of the total moment: 0.02 μB/atom

[15]
The following is a DFT calculation (PBE) of a relaxed CsNbReO6 crystal.

Unit cell a=7.434 b=7.434 c=7.434 alpha=120.65 beta=119.39 gamma=89.97
Element x y z (fractional)
Cs: 0.372 0.122 0.250
Cs: 0.628 0.878 0.750
Nb: 0.000 0.500 0.500
Nb: 0.500 0.500 0.000
Re: 0.000 0.000 0.500
Re: 0.000 0.500 0.000
O: 0.051 0.801 0.250
O: 0.055 0.431 0.235
O: 0.055 0.820 0.624
O: 0.304 0.180 0.735
O: 0.304 0.569 0.124
O: 0.313 0.563 0.750
O: 0.687 0.437 0.250
O: 0.696 0.431 0.876
O: 0.696 0.820 0.265
O: 0.945 0.180 0.376
O: 0.945 0.569 0.765
O: 0.949 0.199 0.750

energy relative to the elements, uncorrected: -2060 meV per atom
symmetry: Imma
size of the total moment: 0.10 μB/atom

[16]
The following is a DFT calculation (PBE) of a relaxed CsNbRu2O crystal.

Unit cell a=5.045 b=5.045 c=4.114 alpha=90.00 beta=90.00 gamma=90.00
Element x y z (fractional)
Cs: 0.000 0.000 0.000
Nb: 0.500 0.500 0.500
Ru: 0.000 0.500 0.500
Ru: 0.500 0.000 0.500
O: 0.500 0.500 0.000

energy relative to the elements, uncorrected: 702 meV per atom
symmetry: P4/mmm
size of the total moment: 0.38 μB/atom

[17]
The following is a DFT calculation (PBE) of a relaxed Cs2NbSbO6 crystal.

Unit cell a=7.450 b=7.450 c=7.450 alpha=137.06 beta=137.06 gamma=62.35
Element x y z (fractional)
Cs: 0.000 0.500 0.500
Cs: 0.500 0.000 0.500
Nb: 0.257 0.257 0.000
Sb: 0.753 0.753 0.000
O: 0.047 0.047 0.496
O: 0.047 0.551 0.000
O: 0.117 0.117 0.000
O: 0.551 0.047 0.000
O: 0.551 0.551 0.504
O: 0.605 0.605 0.000

energy relative to the elements, uncorrected: -1893 meV per atom
symmetry: I4mm
size of the total moment: 0.00 μB/atom

[18]
The following is a DFT calculation (PBE) of a relaxed CsNbSe2O8 crystal.

Unit cell a=5.678 b=5.678 c=8.854 alpha=90.69 beta=90.69 gamma=59.04
Element x y z (fractional)
Cs: 0.000 0.000 0.000
Nb: 0.000 0.000 0.500
Se: 0.357 0.357 0.311
Se: 0.643 0.643 0.689
O: 0.187 0.187 0.454
O: 0.231 0.712 0.335
O: 0.288 0.769 0.665
O: 0.318 0.318 0.129
O: 0.682 0.682 0.871
O: 0.712 0.231 0.335
O: 0.769 0.288 0.665
O: 0.813 0.813 0.546

energy relative to the elements, uncorrected: -1259 meV per atom
symmetry: C2/m
size of the total moment: 0.00 μB/atom

[19]
The following is a DFT calculation (PBE) of a relaxed CsNbSi2O8 crystal.

Unit cell a=5.480 b=5.480 c=8.658 alpha=90.00 beta=90.00 gamma=120.00
Element x y z (fractional)
Cs: 0.000 0.000 0.000
Nb: 0.000 0.000 0.500
Si: 0.333 0.667 0.696
Si: 0.667 0.333 0.304
O: 0.171 0.342 0.633
O: 0.171 0.829 0.633
O: 0.333 0.667 0.884
O: 0.342 0.171 0.367
O: 0.658 0.829 0.633
O: 0.667 0.333 0.116
O: 0.829 0.171 0.367
O: 0.829 0.658 0.367

energy relative to the elements, uncorrected: -2206 meV per atom
symmetry: P-3m1
size of the total moment: 0.17 μB/atom